Compound: CsMnCuS2
Source: Alexandria via LeMat-Bulk
Functional: PBE-GGA
Structure: relaxed

SG = Cmme
Density = 4.1 Mg/m³
Total magnetization = 10.00 μB/cell
E = -5.189 eV/atom

Unit cell a=7.813 b=7.813 c=5.756 alpha=90.00 beta=90.00 gamma=132.68
Sites, in units of the cell vectors:
Cs 0.250 0.750 0.766
Cs 0.750 0.250 0.234
Mn 0.250 0.250 0.500
Mn 0.750 0.750 0.500
Cu 0.000 0.000 0.000
Cu 0.500 0.500 0.000
S 0.099 0.901 0.284
S 0.401 0.599 0.284
S 0.599 0.401 0.716
S 0.901 0.099 0.716

***

Compound: CsMnCuSe3
Source: Alexandria via LeMat-Bulk
Functional: PBE-GGA
Structure: relaxed

SG = P2_1/m
Density = 5.2 Mg/m³
Total magnetization = 6.10 μB/cell
D(E_F) = 3.441 states/eV/cell
E = -4.705 eV/atom

Unit cell a=9.020 b=3.850 c=10.031 alpha=90.00 beta=116.38 gamma=90.00
Sites, in units of the cell vectors:
Cs 0.239 0.250 0.270
Cs 0.761 0.750 0.730
Mn 0.320 0.750 0.848
Mn 0.680 0.250 0.152
Cu 0.075 0.250 0.596
Cu 0.925 0.750 0.404
Se 0.139 0.250 0.859
Se 0.231 0.750 0.573
Se 0.483 0.750 0.127
Se 0.517 0.250 0.873
Se 0.769 0.250 0.427
Se 0.861 0.750 0.141

***

Compound: Cs2MnCu2Se4
Source: Alexandria via LeMat-Bulk
Functional: PBE-GGA
Structure: relaxed

SG = C2/m
Density = 5.4 Mg/m³
Total magnetization = 3.26 μB/cell
D(E_F) = 4.928 states/eV/cell
E = -4.265 eV/atom

Unit cell a=7.756 b=7.756 c=8.256 alpha=107.36 beta=107.36 gamma=29.61
Sites, in units of the cell vectors:
Cs 0.135 0.135 0.063
Cs 0.865 0.865 0.937
Mn 0.000 0.000 0.500
Cu 0.311 0.311 0.517
Cu 0.689 0.689 0.483
Se 0.185 0.185 0.658
Se 0.478 0.478 0.691
Se 0.522 0.522 0.309
Se 0.815 0.815 0.342

***

Compound: Cs2MnCuSe4
Source: Alexandria via LeMat-Bulk
Functional: PBE-GGA
Structure: relaxed

SG = Fddd
Density = 4.4 Mg/m³
Total magnetization = 3.99 μB/cell
D(E_F) = 0.846 states/eV/cell
E = -4.348 eV/atom

Unit cell a=14.547 b=12.945 c=7.807 alpha=85.20 beta=62.47 gamma=32.33
Sites, in units of the cell vectors:
Cs 0.054 0.054 0.696
Cs 0.304 0.304 0.946
Cs 0.696 0.696 0.054
Cs 0.946 0.946 0.304
Mn 0.375 0.375 0.375
Mn 0.625 0.625 0.625
Cu 0.125 0.125 0.125
Cu 0.875 0.875 0.875
Se 0.002 0.644 0.568
Se 0.286 0.568 0.644
Se 0.356 0.998 0.714
Se 0.432 0.714 0.998
Se 0.568 0.286 0.002
Se 0.644 0.002 0.286
Se 0.714 0.432 0.356
Se 0.998 0.356 0.432

***

ΔE_f (raw) in eV per atom, matching the order above: -0.714, -0.609, -0.597, -0.734